1.
VASP calculation (PBE) on an optimized crystal structure of Er2Th2Ru3.

Results
Calculated formation energy (meV per atom): -402
Symmetry: C2/m

a b c (Å): 4.644 7.069 5.500
angles (deg): 95.32 89.96 109.13
Fractional coordinates of all 7 atoms:
Er 0.598 0.196 0.835
Er 0.402 0.804 0.165
Th 0.846 0.693 0.646
Th 0.154 0.307 0.354
Ru 0.000 0.000 0.000
Ru 0.777 0.554 0.188
Ru 0.223 0.446 0.812

=====

2.
VASP calculation (PBE) on an optimized crystal structure of SmZn4Cr.

Results
Calculated formation energy (meV per atom): -116
Symmetry: F-43m

a b c (Å): 5.267 5.267 5.267
angles (deg): 60.00 60.00 60.00
Fractional coordinates of all 6 atoms:
Cr 0.000 0.000 0.000
Zn 0.626 0.626 0.122
Zn 0.626 0.122 0.626
Zn 0.626 0.626 0.626
Zn 0.122 0.626 0.626
Sm 0.250 0.250 0.250

=====

3.
VASP calculation (PBE) on an optimized crystal structure of Th2U2C3.

Results
Calculated formation energy (meV per atom): -147
Symmetry: C2/m

a b c (Å): 3.731 6.507 6.404
angles (deg): 116.28 106.94 90.00
Fractional coordinates of all 7 atoms:
Th 0.402 0.166 0.805
Th 0.598 0.834 0.195
U 0.185 0.358 0.370
U 0.815 0.642 0.630
C 0.000 0.000 0.000
C 0.237 0.768 0.474
C 0.763 0.232 0.526

=====

4.
VASP calculation (PBE) on an optimized crystal structure of LaSb3.

Results
ΔE_f (raw) (eV per atom): -0.5482
Symmetry: P2/m

a b c (Å): 4.397 4.603 6.634
angles (deg): 68.90 90.00 90.00
Fractional coordinates of all 4 atoms:
La 0.000 0.000 0.000
Sb 0.500 0.682 0.767
Sb 0.000 0.500 0.500
Sb 0.500 0.318 0.233

=====

5.
VASP calculation (PBE) on an optimized crystal structure of NbOsRu3.

Results
ΔE to the lowest computed polymorph (meV per atom): 66.5
Calculated formation energy (meV per atom): 53
Symmetry: Cmc2_1

a b c (Å): 4.377 4.782 7.581
angles (deg): 90.00 73.25 90.00
Fractional coordinates of all 10 atoms:
Nb 0.367 0.607 0.985
Nb 0.659 0.107 0.401
Os 0.878 0.238 0.962
Os 0.147 0.738 0.423
Ru 0.561 0.583 0.596
Ru 0.751 0.606 0.216
Ru 0.059 0.244 0.600
Ru 0.966 0.744 0.786
Ru 0.464 0.083 0.789
Ru 0.275 0.106 0.169

=====

6.
VASP calculation (PBE) on an optimized crystal structure of MgCrS3.

Results
ΔE_f (raw) (eV per atom): -0.2067
Symmetry: Pm-3m

a b c (Å): 4.577 4.577 4.577
angles (deg): 90.00 90.00 90.00
Fractional coordinates of all 5 atoms:
Cr 0.000 0.000 0.000
S 0.000 0.500 0.000
S 0.000 0.000 0.500
S 0.500 0.000 0.000
Mg 0.500 0.500 0.500

=====

7.
VASP calculation (PBE) on an optimized crystal structure of NdDyAgAu.

Results
ΔE to the lowest computed polymorph (meV per atom): 0.0
Calculated formation energy (meV per atom): -562
Symmetry: P4mm

a b c (Å): 3.642 3.642 7.473
angles (deg): 90.00 90.00 90.00
Fractional coordinates of all 4 atoms:
Nd 0.000 0.000 0.862
Dy 0.000 0.000 0.350
Ag 0.500 0.500 0.587
Au 0.500 0.500 0.129

=====

8.
VASP calculation (PBE) on an optimized crystal structure of Hf2Ga4Fe3.

Results
Calculated formation energy (meV per atom): -374
Symmetry: Fmmm

a b c (Å): 5.034 5.016 6.703
angles (deg): 79.14 67.95 59.88
Fractional coordinates of all 9 atoms:
Hf 0.622 0.000 0.757
Hf 0.378 0.000 0.243
Ga 0.995 0.674 0.336
Ga 0.669 0.326 0.336
Ga 0.005 0.326 0.664
Ga 0.331 0.674 0.664
Fe 0.000 0.500 0.000
Fe 0.000 0.000 0.000
Fe 0.500 0.500 0.000

=====

Record-wise volume values, in Å³ per atom: 24.3; 17.2; 18.8; 31.3; 15.2; 19.2; 24.8; 15.1
Record-wise total moment values, in μB per formula unit: 0.000; 3.016; 0.000; 0.000; 0.000; 2.438; 0.001; 4.485